(1)
The following is a DFT calculation (PBE) of a relaxed structure of K2LaBe2S4.

Output
Its space group is C2/m. The value obtained for the formation energy from raw total energies is -1230.8 meV per atom. As for the total energy: -42.16 eV for the cell shown.

The structure in POSCAR format:
```
K2LaBe2S4
1.0
7.665 -1.860 0.000
7.665 1.860 0.000
-3.902 0.000 7.485
K La Be S
2 1 2 4
direct
0.123 0.123 0.069 K
0.877 0.877 0.931 K
0.000 0.000 0.500 La
0.328 0.328 0.536 Be
0.672 0.672 0.464 Be
0.214 0.214 0.628 S
0.470 0.470 0.742 S
0.530 0.530 0.258 S
0.786 0.786 0.372 S
```

=====

(2)
The following is a DFT calculation (PBE) of a relaxed structure of PaInCl2.

Output
Its space group is R-3m. The value obtained for the formation energy from raw total energies is -658.3 meV per atom. As for the total energy: -18.56 eV for the cell shown.

The structure in POSCAR format:
```
PaInCl2
1.0
1.758 1.015 10.620
-1.758 1.015 10.620
0.000 -2.030 10.620
Pa In Cl
1 1 2
direct
0.000 0.000 0.000 Pa
0.500 0.500 0.500 In
0.081 0.081 0.081 Cl
0.919 0.919 0.919 Cl
```

=====

(3)
The following is a DFT calculation (PBE) of a relaxed structure of Rb2VGaW.

Output
Its space group is P4/mmm. As for the total energy: -17.02 eV for the cell shown. The value obtained for the energy of formation from the pure elements is 2.002 eV/atom.

The structure in POSCAR format:
```
Rb2VGaW
1.0
6.543 0.000 0.000
0.000 6.543 0.000
0.000 0.000 5.035
Rb V Ga W
2 1 1 1
direct
0.000 0.500 0.000 Rb
0.500 0.000 0.000 Rb
0.000 0.000 0.000 V
0.000 0.000 0.500 Ga
0.500 0.500 0.500 W
```

=====

(4)
The following is a DFT calculation (PBE) of a relaxed structure of BaLaB2.

Output
Its space group is I-42d. For the energy above the most stable polymorph in this dataset, the calculation gives 141 meV per atom. As for the total energy: -32.42 eV for the cell shown. The value obtained for the energy of formation from the pure elements is 0.999 eV/atom.

The structure in POSCAR format:
```
BaLaB2
1.0
-3.681 3.681 4.086
3.681 -3.681 4.086
3.681 3.681 -4.086
Ba La B
2 2 4
direct
0.000 0.000 0.000 Ba
0.750 0.250 0.500 Ba
0.250 0.750 0.500 La
0.500 0.500 0.000 La
0.170 0.625 0.045 B
0.375 0.420 0.545 B
0.580 0.125 0.955 B
0.875 0.830 0.455 B
```